No. 1
! HoLuSn2Ir, relaxed, DFT PBE-GGA; values from VASP
! total energy: -5.95 eV per atom
&SYSTEM
  ibrav = 0, nat = 10, ntyp = 4
/
ATOMIC_SPECIES
Ho 164.93 Ho.upf
Lu 174.97 Lu.upf
Sn 118.71 Sn.upf
Ir 192.22 Ir.upf
ATOMIC_POSITIONS crystal
Ho 0.1859 0.1859 0.1289
Ho 0.8141 0.8141 0.8711
Lu 0.0037 0.0037 0.6720
Lu 0.9963 0.9963 0.3280
Sn 0.3464 0.3464 0.4537
Sn 0.4673 0.4673 0.1167
Sn 0.5327 0.5327 0.8833
Sn 0.6536 0.6536 0.5463
Ir 0.2747 0.2747 0.6754
Ir 0.7253 0.7253 0.3246
CELL_PARAMETERS angstrom
5.3946 -2.2386 0.0000
5.3946 2.2386 0.0000
-4.6856 0.0000 9.7587


No. 2
! HoScPbC, relaxed, DFT PBE-GGA; values from VASP
! total energy: -6.50 eV per atom
&SYSTEM
  ibrav = 0, nat = 8, ntyp = 4
/
ATOMIC_SPECIES
Ho 164.93 Ho.upf
Sc 44.96 Sc.upf
Pb 207.20 Pb.upf
C 12.01 C.upf
ATOMIC_POSITIONS crystal
Ho 0.0000 0.0000 0.1740
Ho 0.0000 0.0000 0.8260
Sc 0.3333 0.6667 0.3353
Sc 0.3333 0.6667 0.6647
Pb 0.0000 0.0000 0.5000
Pb 0.3333 0.6667 0.0000
C 0.6667 0.3333 0.2596
C 0.6667 0.3333 0.7404
CELL_PARAMETERS angstrom
3.5118 0.0000 0.0000
-1.7559 3.0413 0.0000
0.0000 0.0000 15.6195


No. 3
! Nd5SiSe4, relaxed, DFT PBE-GGA; values from VASP
! total energy: -6.00 eV per atom
&SYSTEM
  ibrav = 0, nat = 10, ntyp = 3
/
ATOMIC_SPECIES
Nd 144.24 Nd.upf
Si 28.09 Si.upf
Se 78.96 Se.upf
ATOMIC_POSITIONS crystal
Nd 0.0000 0.0000 0.0000
Nd 0.2095 0.4039 0.6134
Nd 0.4039 0.7905 0.1944
Nd 0.5961 0.2095 0.8056
Nd 0.7905 0.5961 0.3866
Si 0.5000 0.5000 0.0000
Se 0.0985 0.6986 0.7972
Se 0.3014 0.0985 0.3999
Se 0.6986 0.9015 0.6001
Se 0.9015 0.3014 0.2028
CELL_PARAMETERS angstrom
-4.7556 4.7556 2.9930
4.7556 -4.7556 2.9930
4.7556 4.7556 -2.9930